Compound: TcAsOs2
Source: Alexandria via LeMat-Bulk
Functional: PBE
Structure: relaxed

Cell lengths 5.4724, 5.5035, 4.7172 Å; angles 90.00, 124.79, 90.00 degrees
With the nearest neighbours (Å) after each atom.
Space group C2/m (No. 12)
One atom of each set of equivalent atoms:
Tc  0.0000  0.0000  0.0000 (multiplicity 2)  8 Os 2.73-2.75, 4 As 2.74-2.75
As  0.0000  0.5000  0.0000 (multiplicity 2)  8 Os 2.73-2.76, 4 Tc 2.74-2.75
Os  0.0000  0.2516  0.5000 (multiplicity 4)  4 As 2.73-2.76, 4 Os 2.73-2.77, 4 Tc 2.73-2.75

Calculated values
DFT formation energy (eV per atom): 0.46
VASP energy (eV per atom): -8.91
Crystal system: monoclinic
V (Å³/cell): 116.7
Total moment (μB per formula unit): 0.0
Fermi-level density of states (states/eV/f.u.): 3.883